Material: TaTi2N2
Method: DFT, PBE
State: relaxed

Summary:
Formation energy without anion corrections, eV per atom: -0.8772
DFT total energy, eV for the cell shown: -97.36
SG: No. 15
V, Å³ per cell: 119.64
DOS(E_F), states/eV/cell: 4.33

Unit cell a=5.449 b=5.449 c=4.508 alpha=108.05 beta=108.05 gamma=92.34
Fractional coordinates of all 10 atoms:
1 Ta 0.131 0.869 0.750
2 Ta 0.869 0.131 0.250
3 Ti 0.217 0.421 0.960
4 Ti 0.421 0.217 0.460
5 Ti 0.579 0.783 0.540
6 Ti 0.783 0.579 0.040
7 N 0.179 0.821 0.250
8 N 0.404 0.596 0.750
9 N 0.596 0.404 0.250
10 N 0.821 0.179 0.750


Material: Tc4Ag
Method: DFT, PBE
State: relaxed

Summary:
DFT total energy, eV for the cell shown: -42.72
SG: No. 87
V, Å³ per cell: 75.23
DOS(E_F), states/eV/cell: 4.74

Unit cell a=4.777 b=4.777 c=4.777 alpha=100.07 beta=100.07 gamma=130.55
Fractional coordinates of all 5 atoms:
1 Tc 0.084 0.697 0.781
2 Tc 0.303 0.084 0.387
3 Tc 0.697 0.916 0.613
4 Tc 0.916 0.303 0.219
5 Ag 0.500 0.500 0.000